# 1
# KTcMo

A relaxed structure of KTcMo (PBE, Alexandria via LeMat-Bulk). Values from VASP.

Computed properties:
The density is 6.535 g/cm³. The energy above the most stable polymorph in this dataset is 0.089 eV/atom. Its magnetization is 0.00 μB/f.u. The electronic total energy comes out at -77.9 eV per cell.

The structure in Quantum ESPRESSO input format:
```
&SYSTEM
  ibrav = 0, nat = 12, ntyp = 3
/
ATOMIC_SPECIES
K 39.10 K.upf
Tc 98.00 Tc.upf
Mo 95.94 Mo.upf
ATOMIC_POSITIONS crystal
K 0.000 0.000 0.000
K 0.000 0.500 0.500
K 0.500 0.000 0.500
K 0.500 0.500 0.000
Tc 0.000 0.000 0.680
Tc 0.000 0.500 0.180
Tc 0.500 0.000 0.180
Tc 0.500 0.500 0.680
Mo 0.000 0.000 0.306
Mo 0.000 0.500 0.806
Mo 0.500 0.000 0.806
Mo 0.500 0.500 0.306
CELL_PARAMETERS angstrom
3.104 0.000 0.000
0.000 4.667 0.000
0.000 0.000 16.348
```

# 2
# K2I2Cl

A relaxed structure of K2I2Cl (PBE, Alexandria via LeMat-Bulk). Values from VASP.

Computed properties:
The density is 2.670 g/cm³. The calculation puts the formation energy without anion corrections at -1131.3 meV per atom. Its magnetization is 0.92 μB/f.u. The electronic total energy comes out at -25.6 eV per cell.

The structure in Quantum ESPRESSO input format:
```
&SYSTEM
  ibrav = 0, nat = 10, ntyp = 3
/
ATOMIC_SPECIES
K 39.10 K.upf
I 126.90 I.upf
Cl 35.45 Cl.upf
ATOMIC_POSITIONS crystal
K 0.084 0.334 0.750
K 0.334 0.084 0.250
K 0.666 0.916 0.750
K 0.916 0.666 0.250
I 0.207 0.457 0.750
I 0.457 0.207 0.250
I 0.543 0.793 0.750
I 0.793 0.543 0.250
Cl 0.125 0.875 0.250
Cl 0.875 0.125 0.750
CELL_PARAMETERS angstrom
-2.103 2.103 25.844
2.103 -2.103 25.844
2.103 2.103 -25.844
```

# 3
# La4Tb5

A relaxed structure of La4Tb5 (PBE, Alexandria via LeMat-Bulk). Values from VASP.

Computed properties:
The density is 7.290 g/cm³. Its magnetization is 0.00 μB/f.u. The electronic total energy comes out at -42.6 eV per cell.

The structure in Quantum ESPRESSO input format:
```
&SYSTEM
  ibrav = 0, nat = 9, ntyp = 2
/
ATOMIC_SPECIES
La 138.91 La.upf
Tb 158.93 Tb.upf
ATOMIC_POSITIONS crystal
La 0.167 0.167 0.334
La 0.167 0.833 0.000
La 0.833 0.167 0.000
La 0.833 0.833 0.666
Tb 0.164 0.500 0.664
Tb 0.500 0.164 0.664
Tb 0.500 0.500 0.000
Tb 0.500 0.836 0.336
Tb 0.836 0.500 0.336
CELL_PARAMETERS angstrom
-5.455 5.455 2.584
5.455 -5.455 2.584
5.455 5.455 -2.584
```

# 4
# ReAu8

A relaxed structure of ReAu8 (PBE, Alexandria via LeMat-Bulk). Values from VASP.

Computed properties:
The density is 18.151 g/cm³. Its magnetization is 1.31 μB/f.u. The electronic total energy comes out at -36.4 eV per cell.

The structure in Quantum ESPRESSO input format:
```
&SYSTEM
  ibrav = 0, nat = 9, ntyp = 2
/
ATOMIC_SPECIES
Re 186.21 Re.upf
Au 196.97 Au.upf
ATOMIC_POSITIONS crystal
Re 0.000 0.000 0.000
Au 0.000 0.334 0.334
Au 0.000 0.666 0.666
Au 0.334 0.000 0.334
Au 0.337 0.337 0.675
Au 0.337 0.663 0.000
Au 0.663 0.337 0.000
Au 0.663 0.663 0.325
Au 0.666 0.000 0.666
CELL_PARAMETERS angstrom
-5.315 5.315 1.426
5.315 -5.315 1.426
5.315 5.315 -1.426
```

# 5
# Rb2NaGeBr6

A relaxed structure of Rb2NaGeBr6 (PBE, Alexandria via LeMat-Bulk). Values from VASP.

Computed properties:
The density is 3.602 g/cm³. The calculation puts the formation energy without anion corrections at -1184.0 meV per atom. Its magnetization is 0.00 μB/f.u. The electronic total energy comes out at -29.7 eV per cell.

The structure in Quantum ESPRESSO input format:
```
&SYSTEM
  ibrav = 0, nat = 10, ntyp = 4
/
ATOMIC_SPECIES
Rb 85.47 Rb.upf
Na 22.99 Na.upf
Ge 72.64 Ge.upf
Br 79.90 Br.upf
ATOMIC_POSITIONS crystal
Rb 0.250 0.250 0.250
Rb 0.750 0.750 0.750
Na 0.000 0.000 0.000
Ge 0.500 0.500 0.500
Br 0.262 0.262 0.738
Br 0.262 0.738 0.262
Br 0.262 0.738 0.738
Br 0.738 0.262 0.262
Br 0.738 0.262 0.738
Br 0.738 0.738 0.262
CELL_PARAMETERS angstrom
0.000 5.561 5.561
5.561 0.000 5.561
5.561 5.561 0.000
```

# 6
# Mg3In2Ga4

A relaxed structure of Mg3In2Ga4 (PBE, Alexandria via LeMat-Bulk). Values from VASP.

Computed properties:
The density is 5.064 g/cm³. Its magnetization is 0.00 μB/f.u. The electronic total energy comes out at -46.0 eV per cell.

The structure in Quantum ESPRESSO input format:
```
&SYSTEM
  ibrav = 0, nat = 18, ntyp = 3
/
ATOMIC_SPECIES
Mg 24.30 Mg.upf
In 114.82 In.upf
Ga 69.72 Ga.upf
ATOMIC_POSITIONS crystal
Mg 0.146 0.854 0.750
Mg 0.222 0.459 0.899
Mg 0.459 0.222 0.399
Mg 0.541 0.778 0.601
Mg 0.778 0.541 0.101
Mg 0.854 0.146 0.250
In 0.004 0.234 0.807
In 0.234 0.004 0.307
In 0.766 0.996 0.693
In 0.996 0.766 0.193
Ga 0.101 0.379 0.354
Ga 0.330 0.570 0.457
Ga 0.379 0.101 0.854
Ga 0.430 0.670 0.043
Ga 0.570 0.330 0.957
Ga 0.621 0.899 0.146
Ga 0.670 0.430 0.543
Ga 0.899 0.621 0.646
CELL_PARAMETERS angstrom
7.026 -5.169 0.000
7.026 5.169 0.000
-1.388 0.000 5.249
```

# 7
# CoMo2Pt

A relaxed structure of CoMo2Pt (PBE, Alexandria via LeMat-Bulk). Values from VASP.

Computed properties:
The density is 12.988 g/cm³. The energy above the most stable polymorph in this dataset is 0.008 eV/atom. Its magnetization is 0.40 μB/f.u. The electronic total energy comes out at -35.3 eV per cell.

The structure in Quantum ESPRESSO input format:
```
&SYSTEM
  ibrav = 0, nat = 4, ntyp = 3
/
ATOMIC_SPECIES
Co 58.93 Co.upf
Mo 95.94 Mo.upf
Pt 195.08 Pt.upf
ATOMIC_POSITIONS crystal
Co 0.000 0.000 0.000
Mo 0.500 0.500 0.230
Mo 0.500 0.500 0.770
Pt 0.000 0.000 0.500
CELL_PARAMETERS angstrom
2.704 0.000 0.000
0.000 2.704 0.000
0.000 0.000 7.795
```

# 8
# BaAcC3N6

A relaxed structure of BaAcC3N6 (PBE, Alexandria via LeMat-Bulk). Values from VASP.

Computed properties:
The density is 3.184 g/cm³. The calculation puts the formation energy without anion corrections at -463.0 meV per atom. Its magnetization is 1.07 μB/f.u. The electronic total energy comes out at -88.7 eV per cell.

The structure in Quantum ESPRESSO input format:
```
&SYSTEM
  ibrav = 0, nat = 11, ntyp = 4
/
ATOMIC_SPECIES
Ba 137.33 Ba.upf
Ac 227.00 Ac.upf
C 12.01 C.upf
N 14.01 N.upf
ATOMIC_POSITIONS crystal
Ba 0.000 0.000 0.000
Ac 0.500 0.500 0.500
C 0.000 0.505 0.495
C 0.495 0.000 0.505
C 0.505 0.495 0.000
N 0.067 0.384 0.374
N 0.374 0.067 0.384
N 0.384 0.374 0.067
N 0.616 0.933 0.626
N 0.626 0.616 0.933
N 0.933 0.626 0.616
CELL_PARAMETERS angstrom
5.290 3.054 2.606
-5.290 3.054 2.606
0.000 -6.109 2.606
```